No. 1
Computed, not measured: a geometry-optimized PmThGaGe structure at the PBE level of DFT.

The space group is Amm2 (No. 38) and the conventional cell measures 4.1122, 4.4397 and 11.2033 Å, with angles of 90.00, 90.00 and 90.00 degrees. Symmetry generates all atoms from Pm at (0.0000, 0.0000, 0.0000), Th at (0.5000, 0.0000, 0.2805), Ga at (0.5000, 0.0000, 0.5605) and Ge at (0.0000, 0.0000, 0.7184).

The calculation puts the excess energy over the best structure of this formula in the dataset at 0 meV/atom. The calculation puts the density of states at the Fermi level at 3.83 states/eV/f.u. The energy comes out at -5.65 eV/atom. Its size of the total moment is 0.000 μB per cell. Its formation energy is -67.2 kJ/mol of atoms.


No. 2
Computed, not measured: a geometry-optimized ZrCu2NiAu structure at the PBE level of DFT.

The space group is P4/mmm (No. 123) and the conventional cell measures 4.6727, 4.6727 and 5.1132 Å, with angles of 90.00, 90.00 and 90.00 degrees. Symmetry generates all atoms from Zr at (0.0000, 0.0000, 0.0000), Cu at (0.0000, 0.5000, 0.5000), Ni at (0.5000, 0.5000, 0.0000) and Au at (0.0000, 0.0000, 0.5000).

The calculation puts the density of states at the Fermi level at 6.03 states/eV/f.u. The energy comes out at -4.12 eV/atom. Its size of the total moment is 0.445 μB per cell. Its formation energy is 100.1 kJ/mol of atoms.


No. 3
Computed, not measured: a geometry-optimized YSc3 structure at the PBE level of DFT.

The space group is I4/mmm (No. 139) and the conventional cell measures 4.7240, 4.7240 and 18.8887 Å, with angles of 90.00, 90.00 and 90.00 degrees. Symmetry generates all atoms from Y at (0.0000, 0.0000, 0.1240), Sc at (0.0000, 0.0000, 0.3743), Sc at (0.0000, 0.5000, 0.0000) and Sc at (0.0000, 0.5000, 0.2500).

The calculation puts the excess energy over the best structure of this formula in the dataset at 43 meV/atom. The calculation puts the density of states at the Fermi level at 7.59 states/eV/f.u. The energy comes out at -6.30 eV/atom. Its size of the total moment is 0.002 μB per cell. Its formation energy is 5.9 kJ/mol of atoms.


No. 4
Computed, not measured: a geometry-optimized K2RbLiCd structure at the PBE level of DFT.

The space group is P4/mmm (No. 123) and the conventional cell measures 6.8248, 6.8248 and 5.5429 Å, with angles of 90.00, 90.00 and 90.00 degrees. Symmetry generates all atoms from K at (0.0000, 0.5000, 0.0000), Rb at (0.0000, 0.0000, 0.5000), Li at (0.5000, 0.5000, 0.0000) and Cd at (0.5000, 0.5000, 0.5000).

The calculation puts the excess energy over the best structure of this formula in the dataset at 18 meV/atom. The calculation puts the density of states at the Fermi level at 3.43 states/eV/f.u. The energy comes out at -1.11 eV/atom. Its size of the total moment is 0.000 μB per cell. Its formation energy is 8.7 kJ/mol of atoms.


No. 5
Computed, not measured: a geometry-optimized TiCdCl6 structure at the PBE level of DFT.

The space group is C2/m (No. 12) and the conventional cell measures 6.2952, 12.2717 and 6.2761 Å, with angles of 90.00, 108.69 and 90.00 degrees. Symmetry generates all atoms from Ti at (0.0000, 0.0000, 0.0000), Cd at (0.0000, 0.5000, 0.5000), Cl at (0.2271, 0.1389, 0.2303) and Cl at (0.2294, 0.0000, 0.7749).

The energy comes out at -3.78 eV/atom. Its size of the total moment is 0.000 μB per cell. The value obtained for the formation energy (no corrections) is -29.92 kcal/mol of atoms.


No. 6
Computed, not measured: a geometry-optimized TcNiAu2 structure at the PBE level of DFT.

The space group is P4/mmm (No. 123) and the conventional cell measures 2.7764, 2.7764 and 7.9364 Å, with angles of 90.00, 90.00 and 90.00 degrees. Symmetry generates all atoms from Tc at (0.0000, 0.0000, 0.0000), Ni at (0.0000, 0.0000, 0.5000) and Au at (0.5000, 0.5000, 0.2632).

The calculation puts the excess energy over the best structure of this formula in the dataset at 169 meV/atom. The calculation puts the density of states at the Fermi level at 4.44 states/eV/f.u. The energy comes out at -5.38 eV/atom. Its size of the total moment is 0.890 μB per cell. Its formation energy is 28.5 kJ/mol of atoms.


Please write out number 3 again, unchanged.
Computed, not measured: a geometry-optimized YSc3 structure at the PBE level of DFT.

The space group is I4/mmm (No. 139) and the conventional cell measures 4.7240, 4.7240 and 18.8887 Å, with angles of 90.00, 90.00 and 90.00 degrees. Symmetry generates all atoms from Y at (0.0000, 0.0000, 0.1240), Sc at (0.0000, 0.0000, 0.3743), Sc at (0.0000, 0.5000, 0.0000) and Sc at (0.0000, 0.5000, 0.2500).

The calculation puts the excess energy over the best structure of this formula in the dataset at 43 meV/atom. The calculation puts the density of states at the Fermi level at 7.59 states/eV/f.u. The energy comes out at -6.30 eV/atom. Its size of the total moment is 0.002 μB per cell. Its formation energy is 5.9 kJ/mol of atoms.


> Which value of energy does entry 5 give?

-3.78 eV/atom


What did the fifth record say?
Computed, not measured: a geometry-optimized TiCdCl6 structure at the PBE level of DFT.

The space group is C2/m (No. 12) and the conventional cell measures 6.2952, 12.2717 and 6.2761 Å, with angles of 90.00, 108.69 and 90.00 degrees. Symmetry generates all atoms from Ti at (0.0000, 0.0000, 0.0000), Cd at (0.0000, 0.5000, 0.5000), Cl at (0.2271, 0.1389, 0.2303) and Cl at (0.2294, 0.0000, 0.7749).

The energy comes out at -3.78 eV/atom. Its size of the total moment is 0.000 μB per cell. The value obtained for the formation energy (no corrections) is -29.92 kcal/mol of atoms.


Repeat the fourth record exactly.
Computed, not measured: a geometry-optimized K2RbLiCd structure at the PBE level of DFT.

The space group is P4/mmm (No. 123) and the conventional cell measures 6.8248, 6.8248 and 5.5429 Å, with angles of 90.00, 90.00 and 90.00 degrees. Symmetry generates all atoms from K at (0.0000, 0.5000, 0.0000), Rb at (0.0000, 0.0000, 0.5000), Li at (0.5000, 0.5000, 0.0000) and Cd at (0.5000, 0.5000, 0.5000).

The calculation puts the excess energy over the best structure of this formula in the dataset at 18 meV/atom. The calculation puts the density of states at the Fermi level at 3.43 states/eV/f.u. The energy comes out at -1.11 eV/atom. Its size of the total moment is 0.000 μB per cell. Its formation energy is 8.7 kJ/mol of atoms.